1.
This record from Alexandria via LeMat-Bulk describes MgP4Rh6 after structural relaxation. The functional is PBE.

abc: 7.083 7.083 3.555
angles: 90.00 90.00 120.00
Fractional positions:
Mg1 0.000 0.000 0.000
P1 0.187 0.375 0.500
P2 0.187 0.813 0.500
P3 0.625 0.813 0.500
P4 0.667 0.333 0.000
Rh1 0.068 0.534 0.000
Rh2 0.382 0.191 0.500
Rh3 0.466 0.534 0.000
Rh4 0.466 0.932 0.000
Rh5 0.809 0.191 0.500
Rh6 0.809 0.618 0.500

ΔE_f in meV per atom: -733
Crystal system: hexagonal


2.
This record from Alexandria via LeMat-Bulk describes Na3Tm3GaSe8 after structural relaxation. The functional is PBE.

abc: 7.997 7.997 8.523
angles: 117.98 117.98 60.01
Fractional positions:
Na1 0.000 0.000 0.000
Na2 0.000 0.500 0.000
Na3 0.500 0.000 0.000
Tm1 0.000 0.500 0.500
Tm2 0.500 0.000 0.500
Tm3 0.500 0.500 0.500
Ga1 0.000 0.000 0.500
Se1 0.230 0.230 0.716
Se2 0.232 0.755 0.717
Se3 0.245 0.768 0.283
Se4 0.257 0.257 0.273
Se5 0.743 0.743 0.727
Se6 0.755 0.232 0.717
Se7 0.768 0.245 0.283
Se8 0.770 0.770 0.284

Formation energy without anion corrections in eV/f.u.: -20.305
Crystal system: monoclinic